1.
Below is an optimized crystal structure of Al5Ag7, with properties calculated at the PBE level.

a = 4.907 Å, b = 6.445 Å, c = 6.596 Å
α = 83.58°, β = 82.19°, γ = 82.60°
Space group P1 (No. 1)
Inequivalent atoms, fractional coordinates:
Al1 0.000 0.000 0.000 [1 per cell]
Al2 0.005 0.330 0.660 [1 per cell]
Al3 0.250 0.581 0.916 [1 per cell]
Al4 0.742 0.411 0.095 [1 per cell]
Al5 0.747 0.066 0.424 [1 per cell]
Ag1 0.229 0.249 0.246 [1 per cell]
Ag2 0.254 0.921 0.594 [1 per cell]
Ag3 0.493 0.830 0.159 [1 per cell]
Ag4 0.497 0.482 0.499 [1 per cell]
Ag5 0.517 0.174 0.838 [1 per cell]
Ag6 0.762 0.726 0.759 [1 per cell]
Ag7 0.989 0.673 0.328 [1 per cell]

Calculated values
**Energy above the lowest structure with this stoichiometry**: 23 meV/atom
**Formation energy from the elements**: -0.03 eV per atom
**Magnetic moment**: 0.00 μB/f.u.

2.
Below is an optimized crystal structure of ScTiSn2, with properties calculated at the PBE level.

a = 4.470 Å, b = 4.470 Å, c = 4.215 Å
α = 90.00°, β = 90.00°, γ = 90.00°
Space group P4/mmm (No. 123)
Inequivalent atoms, fractional coordinates:
Sc1 0.000 0.000 0.000 [1 per cell]
Ti1 0.500 0.500 0.000 [1 per cell]
Sn1 0.000 0.500 0.500 [2 per cell]

Calculated values
**Energy above the lowest structure with this stoichiometry**: 0 meV/atom
**Formation energy from the elements**: -0.34 eV per atom
**Magnetic moment**: 0.00 μB/f.u.

3.
Below is an optimized crystal structure of Cd2NiPd, with properties calculated at the PBE level.

a = 7.228 Å, b = 7.228 Å, c = 5.560 Å
α = 90.00°, β = 90.00°, γ = 90.00°
Space group I-42d (No. 122)
Inequivalent atoms, fractional coordinates:
Cd1 0.233 0.750 0.125 [8 per cell]
Ni1 0.000 0.000 0.000 [4 per cell]
Pd1 0.000 0.000 0.500 [4 per cell]

Calculated values
**Formation energy from the elements**: 0.16 eV per atom
**Magnetic moment**: 0.00 μB/f.u.

4.
Below is an optimized crystal structure of Hf4HgN, with properties calculated at the PBE level.

a = 8.094 Å, b = 5.101 Å, c = 6.628 Å
α = 90.00°, β = 112.39°, γ = 90.00°
Space group P2_1/c (No. 14)
Inequivalent atoms, fractional coordinates:
Hf1 0.116 0.248 0.304 [4 per cell]
Hf2 0.229 0.739 0.112 [4 per cell]
Hg1 0.500 0.000 0.000 [2 per cell]
N1 0.000 0.000 0.000 [2 per cell]

Calculated values
**Energy above the lowest structure with this stoichiometry**: 185 meV/atom
**Magnetic moment**: 0.00 μB/f.u.
**Formation energy without anion corrections**: -0.419 eV/atom

5.
Below is an optimized crystal structure of CaPmGa2Pd2, with properties calculated at the PBE level.

a = 4.4768 Å, b = 4.4768 Å, c = 7.4729 Å
α = 90.00°, β = 90.00°, γ = 120.00°
Space group P-3m1 (No. 164)
Inequivalent atoms, fractional coordinates:
Ca1 0.0000 0.0000 0.0000 [1 per cell]
Pm1 0.0000 0.0000 0.5000 [1 per cell]
Ga1 0.3333 0.6667 0.7463 [2 per cell]
Pd1 0.3333 0.6667 0.2607 [2 per cell]

Calculated values
**Formation energy from the elements**: -0.76 eV per atom
**Magnetic moment**: 0.00 μB/f.u.

6.
Below is an optimized crystal structure of La2PmPaBi4, with properties calculated at the PBE level.

a = 7.978 Å, b = 4.599 Å, c = 8.013 Å
α = 90.00°, β = 109.18°, γ = 90.00°
Space group P2/m (No. 10)
Inequivalent atoms, fractional coordinates:
La1 0.000 0.000 0.000 [1 per cell]
La2 0.500 0.500 0.000 [1 per cell]
Pm1 0.000 0.500 0.500 [1 per cell]
Pa1 0.500 0.000 0.500 [1 per cell]
Bi1 0.252 0.000 0.740 [2 per cell]
Bi2 0.257 0.500 0.261 [2 per cell]

Calculated values
**Formation energy from the elements**: -0.78 eV per atom
**Magnetic moment**: 1.06 μB/f.u.